No. 1
# PBE PrClO, relaxed
data_PrClO
_cell_length_a 3.9521
_cell_length_b 3.9521
_cell_length_c 4.6403
_cell_angle_alpha 90.00
_cell_angle_beta 90.00
_cell_angle_gamma 120.00
_space_group_name_H-M_alt 'P 3 m 1'
_space_group_IT_number 156
_space_group_name_Hall 'P 3 -2"'
loop_
_atom_site_label
_atom_site_type_symbol
_atom_site_fract_x
_atom_site_fract_y
_atom_site_fract_z
Pr1 Pr 0.0000 0.0000 0.0000
Cl1 Cl 0.6667 0.3333 0.5013
O1 O 0.3333 0.6667 0.0014
# **Fermi-level density of states**: 0.000 states/eV/cell
# **Spin magnetization**: 0.00 μB per formula unit
# **Final energy**: -6.67 eV/atom


No. 2
# PBE Ta2MoPt, relaxed
data_Ta2MoPt
_cell_length_a 3.977
_cell_length_b 3.977
_cell_length_c 8.562
_cell_angle_alpha 90.00
_cell_angle_beta 90.00
_cell_angle_gamma 90.00
_space_group_name_H-M_alt 'I -4 m 2'
_space_group_IT_number 119
_space_group_name_Hall 'I -4 -2'
loop_
_atom_site_label
_atom_site_type_symbol
_atom_site_fract_x
_atom_site_fract_y
_atom_site_fract_z
Ta1 Ta 0.000 0.000 0.000
Ta2 Ta 0.000 0.500 0.250
Mo1 Mo 0.000 0.500 0.750
Pt1 Pt 0.000 0.000 0.500
# **Energy of formation**: -215 meV per atom
# **Fermi-level density of states**: 9.995 states/eV/cell
# **Spin magnetization**: 0.00 μB per formula unit
# **Final energy**: -10.36 eV/atom


No. 3
# PBE La4SmY2Sc, relaxed
data_La4SmY2Sc
_cell_length_a 5.895
_cell_length_b 5.906
_cell_length_c 7.807
_cell_angle_alpha 90.00
_cell_angle_beta 90.00
_cell_angle_gamma 90.00
_space_group_name_H-M_alt 'P m m m'
_space_group_IT_number 47
_space_group_name_Hall '-P 2 2'
loop_
_atom_site_label
_atom_site_type_symbol
_atom_site_fract_x
_atom_site_fract_y
_atom_site_fract_z
La1 La 0.000 0.000 0.237
La2 La 0.500 0.500 0.237
Sm1 Sm 0.000 0.500 0.500
Y1 Y 0.000 0.500 0.000
Y2 Y 0.500 0.000 0.500
Sc1 Sc 0.500 0.000 0.000
# **Energy of formation**: 82 meV per atom
# **Fermi-level density of states**: 12.712 states/eV/cell
# **Spin magnetization**: 0.00 μB per formula unit
# **Final energy**: -5.38 eV/atom


No. 4
# PBE TiTlIBr2, relaxed
data_TiTlIBr2
_cell_length_a 5.268
_cell_length_b 5.268
_cell_length_c 5.876
_cell_angle_alpha 90.00
_cell_angle_beta 90.00
_cell_angle_gamma 90.00
_space_group_name_H-M_alt 'P 4/m m m'
_space_group_IT_number 123
_space_group_name_Hall '-P 4 2'
loop_
_atom_site_label
_atom_site_type_symbol
_atom_site_fract_x
_atom_site_fract_y
_atom_site_fract_z
Ti1 Ti 0.000 0.000 0.000
Tl1 Tl 0.500 0.500 0.500
I1 I 0.000 0.000 0.500
Br1 Br 0.000 0.500 0.000
# **Fermi-level density of states**: 4.452 states/eV/cell
# **Spin magnetization**: 2.00 μB per formula unit
# **Final energy**: -3.79 eV/atom


What did the fourth record say?
# PBE TiTlIBr2, relaxed
data_TiTlIBr2
_cell_length_a 5.268
_cell_length_b 5.268
_cell_length_c 5.876
_cell_angle_alpha 90.00
_cell_angle_beta 90.00
_cell_angle_gamma 90.00
_space_group_name_H-M_alt 'P 4/m m m'
_space_group_IT_number 123
_space_group_name_Hall '-P 4 2'
loop_
_atom_site_label
_atom_site_type_symbol
_atom_site_fract_x
_atom_site_fract_y
_atom_site_fract_z
Ti1 Ti 0.000 0.000 0.000
Tl1 Tl 0.500 0.500 0.500
I1 I 0.000 0.000 0.500
Br1 Br 0.000 0.500 0.000
# **Fermi-level density of states**: 4.452 states/eV/cell
# **Spin magnetization**: 2.00 μB per formula unit
# **Final energy**: -3.79 eV/atom


Question: final energy of number 4 (TiTlIBr2)?
Answer: -3.79 eV/atom


Repeat the fourth record exactly.
# PBE TiTlIBr2, relaxed
data_TiTlIBr2
_cell_length_a 5.268
_cell_length_b 5.268
_cell_length_c 5.876
_cell_angle_alpha 90.00
_cell_angle_beta 90.00
_cell_angle_gamma 90.00
_space_group_name_H-M_alt 'P 4/m m m'
_space_group_IT_number 123
_space_group_name_Hall '-P 4 2'
loop_
_atom_site_label
_atom_site_type_symbol
_atom_site_fract_x
_atom_site_fract_y
_atom_site_fract_z
Ti1 Ti 0.000 0.000 0.000
Tl1 Tl 0.500 0.500 0.500
I1 I 0.000 0.000 0.500
Br1 Br 0.000 0.500 0.000
# **Fermi-level density of states**: 4.452 states/eV/cell
# **Spin magnetization**: 2.00 μB per formula unit
# **Final energy**: -3.79 eV/atom